! Pm6Mg5Sn, relaxed, DFT GGA-PBE; values from VASP
! - Calculated total energy: -0.2646 Ry per atom
! - V: 28.7 Å³/atom
! - Magnetic moment: 0.0000 μB per atom
! - ΔE_f: -0.226 eV per atom
&SYSTEM
  ibrav = 0, nat = 12, ntyp = 3
/
ATOMIC_SPECIES
Pm 145.00 Pm.upf
Mg 24.30 Mg.upf
Sn 118.71 Sn.upf
CELL_PARAMETERS angstrom
2.728 -8.212 0.000
2.728 8.212 0.000
0.000 0.000 7.686
ATOMIC_POSITIONS angstrom
Pm 0.000 0.000 1.901
Pm 0.000 0.000 5.784
Pm 2.728 2.720 1.935
Pm 2.728 2.720 5.751
Pm 2.728 -2.720 1.935
Pm 2.728 -2.720 5.751
Mg 2.728 5.479 3.843
Mg 2.728 5.388 0.000
Mg 2.728 0.000 3.843
Mg 2.728 -5.388 0.000
Mg 2.728 -5.479 3.843
Sn 2.728 0.000 0.000